Sm2ErZn4, relaxed, DFT PBE; VASP energy = -2.88 eV/atom; DOS(E_F) = 5.18 states/eV/cell; total magnetic moment = 0.000 μB/f.u.; ΔE_f = -15.0 kJ per mole of atoms
1.0
4.9309 0.0000 -1.5718
-0.5011 4.9054 -1.5718
-0.3940 -0.4363 7.2843
Zn Er Sm
4 1 2
Direct
0.8941 0.3941 0.7882
0.3941 0.8941 0.7882
0.1059 0.6059 0.2118
0.6059 0.1059 0.2118
0.0000 0.0000 0.0000
0.2771 0.2771 0.5541
0.7229 0.7229 0.4459